Here is a geometry-optimized LaRuAu2 structure from Alexandria. Energies are from PBE.

Calculated values
For the energy above the most stable polymorph in this dataset, the calculation gives 0.112 eV per atom. As for the crystal system: monoclinic. As for the formation enthalpy at 0 K: -3.7 kcal/mol of atoms. The total energy is -21.40 eV/f.u.

a b c (Å): 4.732 3.677 5.315
angles (deg): 69.99 90.00 90.00
Fractional positions:
Au1 0.000 0.896 0.966
Au2 0.000 0.604 0.534
La1 0.500 0.250 0.250
Ru1 0.500 0.750 0.750